Entry i
# PmNdIn

An optimized crystal structure of PmNdIn (PBE, Alexandria via LeMat-Bulk).

Calculated values
The density of states at the Fermi level comes out at 19.04 states/eV/cell.

Cell: 7.5247 7.5247 7.5247 Å, 90.00 90.00 90.00°
Space group F-43m (No. 216)
Unique sites:
1 Pm 0.0000 0.0000 0.0000 [4 per cell]
2 Nd 0.0000 0.0000 0.5000 [4 per cell]
3 In 0.2500 0.2500 0.2500 [4 per cell]

---

Entry ii
# PmNdIn

An optimized crystal structure of PmNdIn (PBE, Alexandria via LeMat-Bulk).

Calculated values
The density of states at the Fermi level comes out at 2.28 states/eV/cell.

Cell: 5.3353 5.3353 3.7413 Å, 90.00 90.00 120.00°
Space group P3m1 (No. 156)
Unique sites:
1 Pm 0.0000 0.0000 0.0000 [1 per cell]
2 Nd 0.6667 0.3333 0.4248 [1 per cell]
3 In 0.3333 0.6667 0.7245 [1 per cell]

---

Entry iii
# PmNdIn

An optimized crystal structure of PmNdIn (PBE, Alexandria via LeMat-Bulk).

Calculated values
The density of states at the Fermi level comes out at 11.51 states/eV/cell.

Cell: 3.5544 3.5544 30.4396 Å, 90.00 90.00 90.00°
Space group I4/mmm (No. 139)
Unique sites:
1 Pm 0.0000 0.0000 0.2036 [4 per cell]
2 Nd 0.0000 0.0000 0.0596 [4 per cell]
3 In 0.0000 0.0000 0.3703 [4 per cell]

---

Entry iv
# PmNdIn

An optimized crystal structure of PmNdIn (PBE, Alexandria via LeMat-Bulk).

Calculated values
The density of states at the Fermi level comes out at 6.30 states/eV/cell.

Cell: 3.6487 3.6487 14.1589 Å, 90.00 90.00 90.00°
Space group I4mm (No. 107)
Unique sites:
1 Pm 0.0000 0.0000 0.0000 [2 per cell]
2 Nd 0.0000 0.0000 0.6938 [2 per cell]
3 In 0.0000 0.0000 0.3485 [2 per cell]

---

The winner here is entry iv, beating the second structure by 4.1 kJ/mol of atoms.

---

Entry i
# Pm3Nd2In2

An optimized crystal structure of Pm3Nd2In2 (PBE, Alexandria via LeMat-Bulk).

Calculated values
The density of states at the Fermi level comes out at 16.10 states/eV/cell.

Cell: 4.7759 25.2183 3.5618 Å, 90.00 90.00 90.00°
Space group Cmmm (No. 65)
Unique sites:
1 Pm 0.0000 0.0000 0.0000 [2 per cell]
2 Pm 0.0000 0.1354 0.0000 [4 per cell]
3 Nd 0.0000 0.2903 0.5000 [4 per cell]
4 In 0.0000 0.4304 0.5000 [4 per cell]

---

Entry ii
# Pm3Nd2In2

An optimized crystal structure of Pm3Nd2In2 (PBE, Alexandria via LeMat-Bulk).

Calculated values
The density of states at the Fermi level comes out at 16.99 states/eV/cell.

Cell: 17.2182 3.5616 8.1852 Å, 90.00 117.96 90.00°
Space group C2/m (No. 12)
Unique sites:
1 Pm 0.0000 0.0000 0.0000 [2 per cell]
2 Pm 0.2111 0.0000 0.1302 [4 per cell]
3 Nd 0.1257 0.0000 0.4736 [4 per cell]
4 In 0.0704 0.5000 0.7497 [4 per cell]

---

The winner here is entry i, beating the second structure by 3.1 kJ/mol of atoms.

---

Entry i
# Pm3Nd4In

An optimized crystal structure of Pm3Nd4In (PBE, Alexandria via LeMat-Bulk).

Calculated values
The density of states at the Fermi level comes out at 22.35 states/eV/cell.

Cell: 10.1573 7.1343 7.2148 Å, 90.00 90.00 90.00°
Space group Pmn2_1 (No. 31)
Unique sites:
1 Pm 0.0000 0.0003 0.0000 [2 per cell]
2 Pm 0.2504 0.2597 0.2502 [4 per cell]
3 Nd 0.0000 0.0006 0.5002 [2 per cell]
4 Nd 0.0000 0.4994 0.0002 [2 per cell]
5 Nd 0.2494 0.7423 0.2502 [4 per cell]
6 In 0.0000 0.4999 0.5005 [2 per cell]

---

Entry ii
# Pm3Nd4In

An optimized crystal structure of Pm3Nd4In (PBE, Alexandria via LeMat-Bulk).

Calculated values
The density of states at the Fermi level comes out at 21.38 states/eV/cell.

Cell: 5.0005 10.2489 10.2428 Å, 90.00 90.00 90.00°
Space group Pmmn (No. 59, origin choice 2)
Unique sites:
1 Pm 0.2500 0.0011 0.1163 [4 per cell]
2 Pm 0.2500 0.7500 0.8800 [2 per cell]
3 Nd 0.2500 0.0055 0.6342 [4 per cell]
4 Nd 0.2500 0.2500 0.3728 [2 per cell]
5 Nd 0.2500 0.7500 0.3651 [2 per cell]
6 In 0.2500 0.2500 0.8786 [2 per cell]

---

The winner here is entry ii, beating the second structure by 1.3 kJ/mol of atoms.

---

Entry i
# Pm2Nd8In

An optimized crystal structure of Pm2Nd8In (PBE, Alexandria via LeMat-Bulk).

Calculated values
The density of states at the Fermi level comes out at 28.64 states/eV/cell.

Cell: 18.5157 5.0934 8.1523 Å, 90.00 105.50 90.00°
Space group C2/m (No. 12)
Unique sites:
1 Pm 0.2241 0.0000 0.1341 [4 per cell]
2 Nd 0.0438 0.0000 0.2288 [4 per cell]
3 Nd 0.0895 0.5000 0.9414 [4 per cell]
4 Nd 0.1360 0.0000 0.6773 [4 per cell]
5 Nd 0.1779 0.5000 0.4083 [4 per cell]
6 In 0.0000 0.5000 0.5000 [2 per cell]

---

Entry ii
# Pm2Nd8In

An optimized crystal structure of Pm2Nd8In (PBE, Alexandria via LeMat-Bulk).

Calculated values
The density of states at the Fermi level comes out at 32.80 states/eV/cell.

Cell: 5.6324 7.7750 17.5922 Å, 90.00 90.00 90.00°
Space group Immm (No. 71)
Unique sites:
1 Pm 0.0000 0.0000 0.1930 [4 per cell]
2 Nd 0.0000 0.2421 0.0000 [4 per cell]
3 Nd 0.0000 0.2745 0.3641 [8 per cell]
4 Nd 0.0000 0.5000 0.1761 [4 per cell]
5 In 0.0000 0.0000 0.5000 [2 per cell]

---

The winner here is entry i, beating the second structure by 6.7 kJ/mol of atoms.

---

Entry i
# Pm2NdIn4

An optimized crystal structure of Pm2NdIn4 (PBE, Alexandria via LeMat-Bulk).

Calculated values
The density of states at the Fermi level comes out at 9.42 states/eV/cell.

Cell: 6.0374 6.0374 11.7572 Å, 90.00 90.00 90.00°
Space group I4/mmm (No. 139)
Unique sites:
1 Pm 0.0000 0.0000 0.1462 [4 per cell]
2 Nd 0.0000 0.0000 0.5000 [2 per cell]
3 In 0.0000 0.5000 0.0000 [4 per cell]
4 In 0.0000 0.5000 0.2500 [4 per cell]

---

Entry ii
# Pm2NdIn4

An optimized crystal structure of Pm2NdIn4 (PBE, Alexandria via LeMat-Bulk).

Calculated values
The density of states at the Fermi level comes out at 12.01 states/eV/cell.

Cell: 5.3620 5.3620 15.0054 Å, 90.00 90.00 90.00°
Space group I4/mmm (No. 139)
Unique sites:
1 Pm 0.0000 0.0000 0.2453 [4 per cell]
2 Nd 0.0000 0.0000 0.5000 [2 per cell]
3 In 0.0000 0.5000 0.1157 [8 per cell]

---

The winner here is entry ii, beating the second structure by 6.9 kJ/mol of atoms.

---

Entry i
# PmNd3In4

An optimized crystal structure of PmNd3In4 (PBE, Alexandria via LeMat-Bulk).

Calculated values
The density of states at the Fermi level comes out at 4.93 states/eV/cell.

Cell: 3.8689 3.8689 15.4822 Å, 90.00 90.00 90.00°
Space group P4/mmm (No. 123)
Unique sites:
1 Pm 0.0000 0.0000 0.0000 [1 per cell]
2 Nd 0.0000 0.0000 0.2488 [2 per cell]
3 Nd 0.0000 0.0000 0.5000 [1 per cell]
4 In 0.5000 0.5000 0.1231 [2 per cell]
5 In 0.5000 0.5000 0.3744 [2 per cell]

---

Entry ii
# PmNd3In4

An optimized crystal structure of PmNd3In4 (PBE, Alexandria via LeMat-Bulk).

Calculated values
The density of states at the Fermi level comes out at 15.91 states/eV/cell.

Cell: 3.6228 7.2658 19.0752 Å, 90.00 90.00 90.00°
Space group Immm (No. 71)
Unique sites:
1 Pm 0.0000 0.0000 0.0000 [2 per cell]
2 Nd 0.0000 0.0000 0.5000 [2 per cell]
3 Nd 0.0000 0.5000 0.2827 [4 per cell]
4 In 0.0000 0.2916 0.1267 [8 per cell]

---

The winner here is entry i, beating the second structure by 17.1 kJ/mol of atoms.